Record 1
## BeOs2Pt (PBE)

Data for a relaxed BeOs2Pt crystal.

The density comes out at 17624 kg/m3. The calculation puts the energy of formation at 0.0694 eV per atom. As for the density of states at the Fermi level: 5.5 states/eV per cell. Its total energy is -63.90 eV for the cell shown.

The space group is Cm (No. 8) and the conventional cell measures 8.770, 2.725 and 4.669 Å, with angles of 90.00, 99.19 and 90.00 degrees. Symmetry generates all atoms from Be at (0.000, 0.000, 0.000), Os at (0.002, 0.500, 0.523), Os at (0.247, 0.000, 0.710) and Pt at (0.247, 0.500, 0.196).


Record 2
## TaPb3 (PBE)

Data for a relaxed TaPb3 crystal.

The density comes out at 12654 kg/m3. The calculation puts the energy of formation at 0.7803 eV per atom. As for the density of states at the Fermi level: 5.1 states/eV per cell. Its total energy is -19.86 eV for the cell shown.

The space group is Pm-3m (No. 221) and the conventional cell measures 4.722, 4.722 and 4.722 Å, with angles of 90.00, 90.00 and 90.00 degrees. Symmetry generates all atoms from Ta at (0.000, 0.000, 0.000) and Pb at (0.000, 0.500, 0.500).


Record 3
## SiSbCl4 (PBE)

Data for a relaxed SiSbCl4 crystal.

The density comes out at 3481 kg/m3. As for the density of states at the Fermi level: 25.3 states/eV per cell. Its total energy is -49.71 eV for the cell shown. Its formation energy from raw total energies is 0.751 eV/atom.

The space group is F-43m (No. 216) and the conventional cell measures 8.225, 8.225 and 8.225 Å, with angles of 90.00, 90.00 and 90.00 degrees. Symmetry generates all atoms from Si at (0.000, 0.000, 0.000), Sb at (0.250, 0.250, 0.250) and Cl at (0.125, 0.125, 0.625).


Record 4
## BPRhCl (PBE)

Data for a relaxed BPRhCl crystal.

The density comes out at 4233 kg/m3. As for the density of states at the Fermi level: 1.6 states/eV per cell. As for the energy relative to the lowest polymorph listed for this composition: 0.56 eV/f.u. Its total energy is -43.24 eV for the cell shown. Its formation energy from raw total energies is -0.083 eV/atom.

The space group is Cm (No. 8) and the conventional cell measures 12.620, 3.216 and 3.610 Å, with angles of 90.00, 105.23 and 90.00 degrees. Symmetry generates all atoms from B at (0.000, 0.000, 0.000), P at (0.057, 0.500, 0.788), Rh at (0.426, 0.000, 0.184) and Cl at (0.285, 0.000, 0.528).